[1]
{"formula": "Lu2HfPd", "functional": "PBE-GGA", "state": "optimized geometry", "rho_g_cm3": 11.6, "formation_energy_ev_per_atom": -0.41, "lattice_angstrom": [[3.4183, 0.0000, 0.0000], [0.0000, 3.4183, 0.0000], [0.0000, 0.0000, 7.7899]], "species": ["Lu", "Lu", "Hf", "Pd"], "fractional_positions": [[0.0000, 0.0000, 0.2186], [0.0000, 0.0000, 0.7814], [0.5000, 0.5000, 0.5000], [0.5000, 0.5000, 0.0000]]}

=====

[2]
{"formula": "CsKRbP", "functional": "PBE-GGA", "state": "optimized geometry", "rho_g_cm3": 3.2, "formation_energy_ev_per_atom": -0.11, "lattice_angstrom": [[0.0000, 4.1970, 4.1970], [4.1970, 0.0000, 4.1970], [4.1970, 4.1970, 0.0000]], "species": ["Cs", "K", "Rb", "P"], "fractional_positions": [[0.0000, 0.0000, 0.0000], [0.7500, 0.7500, 0.7500], [0.2500, 0.2500, 0.2500], [0.5000, 0.5000, 0.5000]]}

=====

[3]
{"formula": "TmGeAu2", "functional": "PBE-GGA", "state": "optimized geometry", "rho_g_cm3": 13.1, "formation_energy_ev_per_atom": -0.56, "lattice_angstrom": [[0.0000, 3.4237, 3.4237], [3.4237, 0.0000, 3.4237], [3.4237, 3.4237, 0.0000]], "species": ["Tm", "Ge", "Au", "Au"], "fractional_positions": [[0.0000, 0.0000, 0.0000], [0.5000, 0.5000, 0.5000], [0.2500, 0.2500, 0.2500], [0.7500, 0.7500, 0.7500]]}

=====

[4]
{"formula": "MnCoW2", "functional": "PBE-GGA", "state": "optimized geometry", "rho_g_cm3": 14.7, "polymorph_energy_mev_per_atom": 78, "formation_energy_ev_per_atom": 0.21, "lattice_angstrom": [[-1.8440, 1.8440, 3.9871], [1.8440, -1.8440, 3.9871], [1.8440, 1.8440, -3.9871]], "species": ["Mn", "Co", "W", "W"], "fractional_positions": [[0.0000, 0.0000, 0.0000], [0.7500, 0.2500, 0.5000], [0.2500, 0.7500, 0.5000], [0.5000, 0.5000, 0.0000]]}

=====

[5]
{"formula": "K2Sn4PtAu3", "functional": "PBE-GGA", "state": "optimized geometry", "rho_g_cm3": 8.5, "formation_energy_ev_per_atom": -0.34, "lattice_angstrom": [[4.8504, 0.0000, 0.0000], [0.0000, 4.8504, 0.0000], [0.0000, 0.0000, 11.1403]], "species": ["K", "K", "Sn", "Sn", "Sn", "Sn", "Pt", "Au", "Au", "Au"], "fractional_positions": [[0.0000, 0.5000, 0.2421], [0.5000, 0.0000, 0.7579], [0.0000, 0.0000, 0.5000], [0.0000, 0.5000, 0.8855], [0.5000, 0.0000, 0.1145], [0.5000, 0.5000, 0.5000], [0.5000, 0.5000, 0.0000], [0.0000, 0.0000, 0.0000], [0.0000, 0.5000, 0.6344], [0.5000, 0.0000, 0.3656]]}

=====

[6]
{"formula": "SmDyY2", "functional": "PBE-GGA", "state": "optimized geometry", "rho_g_cm3": 6.2, "polymorph_energy_mev_per_atom": 0, "formation_energy_ev_per_atom": 0.01, "lattice_angstrom": [[6.5126, -1.8287, 0.0000], [6.5126, 1.8287, 0.0000], [-3.0576, 0.0000, 5.5246]], "species": ["Sm", "Dy", "Y", "Y"], "fractional_positions": [[0.0000, 0.0000, 0.0000], [0.7495, 0.7495, 0.4159], [0.2487, 0.2487, 0.9144], [0.4984, 0.4984, 0.4973]]}

=====

[7]
{"formula": "FeSbTe2", "functional": "PBE-GGA", "state": "optimized geometry", "e_tot_ev_per_atom": -4.54, "rho_g_cm3": 6.4, "lattice_angstrom": [[-1.8340, 2.4332, 6.2745], [1.8340, -2.4332, 6.2745], [1.8340, 2.4332, -6.2745]], "species": ["Fe", "Sb", "Te", "Te"], "fractional_positions": [[0.0000, 0.0000, 0.0000], [0.5000, 0.5000, 0.0000], [0.1532, 0.6532, 0.5000], [0.8468, 0.3468, 0.5000]]}

=====

[8]
{"formula": "MnAs5", "functional": "PBE-GGA", "state": "optimized geometry", "rho_g_cm3": 5.7, "polymorph_energy_mev_per_atom": 522, "formation_energy_ev_per_atom": 0.59, "lattice_angstrom": [[5.4008, 0.0000, 0.0000], [-2.7004, 4.6773, 0.0000], [0.0000, 0.0000, 4.9969]], "species": ["Mn", "As", "As", "As", "As", "As"], "fractional_positions": [[0.0000, 0.0000, 0.0000], [0.0000, 0.5000, 0.5000], [0.3333, 0.6667, 0.0000], [0.5000, 0.0000, 0.5000], [0.5000, 0.5000, 0.5000], [0.6667, 0.3333, 0.0000]]}

=====

[9]
{"formula": "Pm3HgRu", "functional": "PBE-GGA", "state": "optimized geometry", "rho_g_cm3": 9.0, "polymorph_energy_mev_per_atom": 0, "formation_energy_ev_per_atom": -0.33, "lattice_angstrom": [[0.0000, 5.0809, 8.0006], [3.3265, 0.0000, 8.0006], [3.3265, 5.0809, 0.0000]], "species": ["Pm", "Pm", "Pm", "Pm", "Pm", "Pm", "Hg", "Hg", "Ru", "Ru"], "fractional_positions": [[0.1966, 0.1966, 0.8034], [0.2002, 0.5789, 0.4211], [0.4211, 0.7998, 0.2002], [0.5789, 0.2002, 0.7998], [0.7998, 0.4211, 0.5789], [0.8034, 0.8034, 0.1966], [0.2135, 0.7865, 0.7865], [0.7865, 0.2135, 0.2135], [0.2500, 0.2500, 0.2500], [0.7500, 0.7500, 0.7500]]}

=====

[10]
{"formula": "HoZnIrPd", "functional": "PBE-GGA", "state": "optimized geometry", "rho_g_cm3": 12.7, "formation_energy_ev_per_atom": -0.62, "lattice_angstrom": [[0.0000, 3.2611, 3.2611], [3.2611, 0.0000, 3.2611], [3.2611, 3.2611, 0.0000]], "species": ["Ho", "Zn", "Ir", "Pd"], "fractional_positions": [[0.0000, 0.0000, 0.0000], [0.5000, 0.5000, 0.5000], [0.7500, 0.7500, 0.7500], [0.2500, 0.2500, 0.2500]]}

=====

[11]
{"formula": "CaHg2Te", "functional": "PBE-GGA", "state": "optimized geometry", "e_tot_ev_per_atom": -2.04, "rho_g_cm3": 7.7, "lattice_angstrom": [[4.6584, -2.2737, 0.0000], [4.6584, 2.2737, 0.0000], [-2.0565, 0.0000, 5.7696]], "species": ["Ca", "Hg", "Hg", "Te"], "fractional_positions": [[0.0000, 0.0000, 0.0000], [0.4991, 0.4991, 0.4568], [0.7632, 0.7632, 0.2839], [0.2637, 0.2637, 0.7694]]}

=====

[12]
{"formula": "LiV2Pd", "functional": "PBE-GGA", "state": "optimized geometry", "rho_g_cm3": 6.1, "polymorph_energy_mev_per_atom": 153, "formation_energy_ev_per_atom": 0.45, "lattice_angstrom": [[-3.5235, 3.5235, 2.3505], [3.5235, -3.5235, 2.3505], [3.5235, 3.5235, -2.3505]], "species": ["Li", "Li", "V", "V", "V", "V", "Pd", "Pd"], "fractional_positions": [[0.0000, 0.0000, 0.0000], [0.7500, 0.2500, 0.5000], [0.1347, 0.6250, 0.0097], [0.3750, 0.3847, 0.5097], [0.6153, 0.1250, 0.9903], [0.8750, 0.8653, 0.4903], [0.2500, 0.7500, 0.5000], [0.5000, 0.5000, 0.0000]]}